Tb3PtPb2 | PBE | optimized geometry

Cell: 4.5494 11.7578 12.4229 Å, 90.00 90.00 90.00°
With the nearest neighbours (Å) after each atom.
Fractional positions:
Tb (0.2500, 0.3687, 0.0554)  1 Pt 2.95, 4 Pb 3.14-3.15
Tb (0.7500, 0.6313, 0.9446)  1 Pt 2.95, 4 Pb 3.14-3.15
Tb (0.7500, 0.8687, 0.4446)  1 Pt 2.95, 4 Pb 3.14-3.15
Tb (0.2500, 0.1313, 0.5554)  1 Pt 2.95, 4 Pb 3.14-3.15
Tb (0.2500, 0.7019, 0.2429)  2 Pt 2.97, 2 Pb 3.14-3.31
Tb (0.7500, 0.2981, 0.7571)  2 Pt 2.97, 2 Pb 3.14-3.31
Tb (0.7500, 0.2019, 0.2571)  2 Pt 2.97, 2 Pb 3.14-3.31
Tb (0.2500, 0.7981, 0.7429)  2 Pt 2.97, 2 Pb 3.14-3.31
Tb (0.2500, 0.4510, 0.3798)  3 Pt 3.08-3.13, 5 Pb 3.18-3.38, 1 Tb 3.40
Tb (0.7500, 0.5490, 0.6202)  3 Pt 3.08-3.13, 5 Pb 3.18-3.38, 1 Tb 3.40
Tb (0.7500, 0.9510, 0.1202)  3 Pt 3.08-3.13, 5 Pb 3.18-3.38, 1 Tb 3.40
Tb (0.2500, 0.0490, 0.8798)  3 Pt 3.08-3.13, 5 Pb 3.18-3.38, 1 Tb 3.40
Pt (0.2500, 0.1275, 0.1209)  3 Pb 2.89-2.91, 6 Tb 2.95-3.13
Pt (0.7500, 0.8725, 0.8791)  3 Pb 2.89-2.91, 6 Tb 2.95-3.13
Pt (0.7500, 0.6275, 0.3791)  3 Pb 2.89-2.91, 6 Tb 2.95-3.13
Pt (0.2500, 0.3725, 0.6209)  3 Pb 2.89-2.91, 6 Tb 2.95-3.13
Pb (0.2500, 0.6972, 0.5093)  2 Pt 2.91, 5 Tb 3.14-3.18
Pb (0.7500, 0.3028, 0.4907)  2 Pt 2.91, 5 Tb 3.14-3.18
Pb (0.7500, 0.1972, 0.9907)  2 Pt 2.91, 5 Tb 3.14-3.18
Pb (0.2500, 0.8028, 0.0093)  2 Pt 2.91, 5 Tb 3.14-3.18
Pb (0.2500, 0.9952, 0.3167)  1 Pt 2.89, 2 Tb 3.15
Pb (0.7500, 0.0048, 0.6833)  1 Pt 2.89, 2 Tb 3.15
Pb (0.7500, 0.4952, 0.1833)  1 Pt 2.89, 2 Tb 3.15
Pb (0.2500, 0.5048, 0.8167)  1 Pt 2.89, 2 Tb 3.15

Values from the calculation:
calculated formation energy	-0.71	eV per atom
N(E_F)	3.96	states/eV/f.u.
size of the total moment	0.00	μB per cell
theoretical density	10.9	Mg/m³


TbPt4Pb | PBE | optimized geometry

Cell: 5.4553 5.4553 5.4553 Å, 60.00 60.00 60.00°
With the nearest neighbours (Å) after each atom.
Fractional positions:
Pb (0.0000, 0.0000, 0.0000)  12 Pt 3.20, 4 Tb 3.34
Tb (0.2500, 0.2500, 0.2500)  12 Pt 3.20, 4 Pb 3.34
Pt (0.6249, 0.6249, 0.1254)  6 Pt 2.72-2.73
Pt (0.6249, 0.1254, 0.6249)  6 Pt 2.72-2.73
Pt (0.6249, 0.6249, 0.6249)  6 Pt 2.72-2.73
Pt (0.1254, 0.6249, 0.6249)  6 Pt 2.72-2.73

Values from the calculation:
calculated formation energy	-0.71	eV per atom
N(E_F)	3.70	states/eV/f.u.
size of the total moment	0.00	μB per cell
theoretical density	16.6	Mg/m³


Tb4PtPb | PBE | optimized geometry

Cell: 6.2365 8.5544 8.1719 Å, 114.70 103.70 106.06°
With the nearest neighbours (Å) after each atom.
Fractional positions:
Tb (0.0401, 0.2112, 0.8556)  2 Pt 2.96-2.98, 1 Pb 3.27
Tb (0.7864, 0.7136, 0.6540)  2 Pt 2.97, 2 Pb 3.26-3.27
Tb (0.3155, 0.6445, 0.8556)  2 Pt 2.96-2.98, 1 Pb 3.27
Tb (0.3677, 0.9405, 0.6540)  2 Pt 2.97, 2 Pb 3.26-3.27
Tb (0.6323, 0.0595, 0.3460)  2 Pt 2.97, 2 Pb 3.26-3.27
Tb (0.6845, 0.3555, 0.1444)  2 Pt 2.96-2.98, 1 Pb 3.27
Tb (0.2136, 0.2864, 0.3460)  2 Pt 2.97, 2 Pb 3.26-3.27
Tb (0.9599, 0.7888, 0.1444)  2 Pt 2.96-2.98, 1 Pb 3.27
Pt (0.2505, 0.0005, 0.0009)  8 Tb 2.96-2.98, 2 Pt 3.12
Pt (0.7495, 0.9995, 0.9991)  8 Tb 2.96-2.98, 2 Pt 3.12
Pb (0.3779, 0.6279, 0.2558)  8 Tb 3.26-3.38
Pb (0.6221, 0.3721, 0.7442)  8 Tb 3.26-3.38

Values from the calculation:
calculated formation energy	-0.59	eV per atom
N(E_F)	6.76	states/eV/f.u.
size of the total moment	0.00	μB per cell
theoretical density	9.9	Mg/m³